Entry 1:
La2InGa4 GGA-PBE optimized geometry; ΔH_f (0 K) = -0.32 eV/f.u.
1.0
5.079 0.000 0.000
0.000 5.079 0.000
2.539 2.539 7.816
Ga In La
4 1 2
Direct
0.174 0.174 0.653
0.500 0.000 0.000
0.826 0.826 0.347
0.000 0.500 0.000
0.000 0.000 0.000
0.633 0.633 0.735
0.367 0.367 0.265

***

Entry 2:
Na3LiRh3O8 GGA-PBE optimized geometry; formation energy from raw total energies = -17.1 eV per formula unit
1.0
6.152 0.000 0.000
-3.076 5.328 -0.019
0.000 -3.534 5.319
Na O Li Rh
3 8 1 3
Direct
0.000 0.500 0.000
0.500 0.500 0.000
0.000 0.000 0.000
0.761 0.521 0.307
0.714 0.953 0.693
0.265 0.529 0.294
0.761 0.047 0.307
0.239 0.953 0.693
0.735 0.471 0.706
0.286 0.047 0.307
0.239 0.479 0.693
0.000 0.000 0.500
0.500 0.000 0.500
0.000 0.500 0.500
0.500 0.500 0.500

***

Entry 3:
Li2CdRe GGA-PBE optimized geometry; ΔH_f (0 K) = 1.59 eV/f.u.
1.0
5.502 -0.002 -0.002
2.809 4.730 0.002
-3.453 -3.599 2.322
Li Cd Re
2 1 1
Direct
0.995 0.995 0.000
0.765 0.265 0.500
0.234 0.734 0.500
0.507 0.507 0.000

***

Entry 4:
Rb4U3PaTe8 GGA-PBE optimized geometry; formation energy from raw total energies = -13.7 eV per formula unit
1.0
-6.567 1.465 5.927
-5.408 -7.511 -4.135
8.224 -2.141 2.858
U Rb Pa Te
3 4 1 8
Direct
0.500 0.500 0.500
0.500 0.500 0.000
0.000 0.500 0.500
0.500 0.000 0.500
0.000 0.000 0.500
0.500 0.000 0.000
0.000 0.000 0.000
0.000 0.500 0.000
0.737 0.705 0.971
0.234 0.705 0.468
0.735 0.704 0.469
0.766 0.295 0.029
0.265 0.296 0.531
0.766 0.295 0.532
0.234 0.705 0.971
0.263 0.295 0.029

***

Entry 5:
CaHg GGA-PBE optimized geometry; ΔH_f (0 K) = -0.77 eV/f.u.
1.0
8.557 0.000 0.000
-4.279 7.411 0.000
0.000 0.000 5.967
Hg Ca
6 6
Direct
0.535 0.663 0.250
0.337 0.872 0.250
0.872 0.535 0.750
0.663 0.128 0.750
0.128 0.465 0.250
0.465 0.337 0.750
0.765 0.102 0.250
0.663 0.765 0.750
0.898 0.663 0.250
0.337 0.235 0.250
0.235 0.898 0.750
0.102 0.337 0.750

***

Entry 6:
La2ScTa GGA-PBE optimized geometry; ΔH_f (0 K) = 1.81 eV/f.u.; energy relative to the lowest polymorph listed for this composition = 185 meV per atom
1.0
3.235 -0.054 0.000
-1.153 3.022 0.000
0.000 0.000 11.128
Sc La Ta
1 2 1
Direct
0.500 0.500 0.250
0.000 0.000 0.527
0.000 0.000 0.973
0.500 0.500 0.750

***

Energy list, top to bottom, in eV per atom: -3.5747, -5.6476, -3.8991, -5.3807, -1.5384, -6.5577